This record from Alexandria via LeMat-Bulk describes a relaxed Ba2TlMo crystal. The functional is PBE.

abc: 5.9147 5.9147 5.9147
angles: 60.00 60.00 60.00
Last column: magnetic moment on the atom in μB.
Positions (direct):
Ba1 0.2500 0.2500 0.2500  -0.02
Ba2 0.7500 0.7500 0.7500  -0.02
Mo1 0.0000 0.0000 0.0000  3.06
Tl1 0.5000 0.5000 0.5000  -0.11

Results
M_tot, μB/f.u.: 3.29
Energy above the most stable polymorph in this dataset, meV/atom: 116
Mass density, g/cm3: 6.526
Formation energy from the elements, eV per atom: 0.632

=====

This record from Alexandria via LeMat-Bulk describes a relaxed BaTlMo2 crystal. The functional is PBE.

abc: 2.9959 2.9959 10.2751
angles: 90.00 90.00 102.00
Positions (direct):
Mo1 0.0000 0.0000 0.4674
Mo2 0.0000 0.0000 0.0326
Tl1 0.5000 0.5000 0.2500
Ba1 0.5000 0.5000 0.7500

Results
M_tot, μB/f.u.: 0.00
Energy above the most stable polymorph in this dataset, meV/atom: 780
Mass density, g/cm3: 9.822
Formation energy from the elements, eV per atom: 1.232

=====

This record from Alexandria via LeMat-Bulk describes a relaxed BaTl2Mo crystal. The functional is PBE.

abc: 4.8935 4.8949 5.0542
angles: 90.00 90.00 90.00
Last column: magnetic moment on the atom in μB.
Positions (direct):
Ba1 0.5000 0.0000 0.5000  0.00
Mo1 0.0000 0.5000 0.5000  3.09
Tl1 0.0000 0.0000 0.0000  -0.05
Tl2 0.5000 0.5000 0.0000  -0.05

Results
M_tot, μB/f.u.: 3.38
Energy above the most stable polymorph in this dataset, meV/atom: 249
Mass density, g/cm3: 8.806
Formation energy from the elements, eV per atom: 0.672

=====

This record from Alexandria via LeMat-Bulk describes a relaxed BaTlMo2 crystal. The functional is PBE.

abc: 4.9639 4.9639 4.9639
angles: 60.00 60.00 60.00
Positions (direct):
Mo1 0.2500 0.2500 0.2500
Mo2 0.7500 0.7500 0.7500
Ba1 0.0000 0.0000 0.0000
Tl1 0.5000 0.5000 0.5000

Results
M_tot, μB/f.u.: 0.00
Energy above the most stable polymorph in this dataset, meV/atom: 937
Mass density, g/cm3: 10.245
Formation energy from the elements, eV per atom: 1.388

=====

This record from Alexandria via LeMat-Bulk describes a relaxed Ba2TlMo crystal. The functional is PBE.

abc: 6.8229 6.8229 6.8229
angles: 142.72 131.12 63.05
Last column: magnetic moment on the atom in μB.
Positions (direct):
Mo1 0.4498 0.4498 0.0000  2.29
Tl1 0.2966 0.7966 0.5000  -0.07
Ba1 0.7296 0.2296 0.5000  -0.01
Ba2 0.0239 0.0239 0.0000  -0.02

Results
M_tot, μB/f.u.: 2.61
Energy above the most stable polymorph in this dataset, meV/atom: 53
Mass density, g/cm3: 6.666
Formation energy from the elements, eV per atom: 0.569

=====

This record from Alexandria via LeMat-Bulk describes a relaxed Ba2TlMo crystal. The functional is PBE.

abc: 3.8894 3.8894 9.5390
angles: 90.00 90.00 90.00
Positions (direct):
Ba1 0.0000 0.0000 0.9152
Ba2 0.5000 0.5000 0.3269
Mo1 0.0000 0.0000 0.5855
Tl1 0.5000 0.5000 0.6724

Results
M_tot, μB/f.u.: 0.03
Energy above the most stable polymorph in this dataset, meV/atom: 19
Mass density, g/cm3: 6.617
Formation energy from the elements, eV per atom: 0.535

=====

This record from Alexandria via LeMat-Bulk describes a relaxed BaTlMo2 crystal. The functional is PBE.

abc: 3.3823 3.4056 9.1489
angles: 68.29 90.00 90.00
Positions (direct):
Mo1 0.5000 0.2922 0.2059
Mo2 0.0000 0.9190 0.0820
Tl1 0.0000 0.5560 0.4444
Ba1 0.5000 0.7328 0.7677

Results
M_tot, μB/f.u.: 0.00
Energy above the most stable polymorph in this dataset, meV/atom: 0
Mass density, g/cm3: 9.050
Formation energy from the elements, eV per atom: 0.451

=====

This record from Alexandria via LeMat-Bulk describes a relaxed BaTl2Mo crystal. The functional is PBE.

abc: 5.8633 5.8633 3.5360
angles: 90.02 90.02 108.50
Last column: magnetic moment on the atom in μB.
Positions (direct):
Tl1 0.0000 0.0000 0.0000  -0.04
Tl2 0.5000 0.5000 0.0000  -0.04
Ba1 0.5000 0.0000 0.5000  0.00
Mo1 0.0000 0.5000 0.5000  2.68

Results
M_tot, μB/f.u.: 2.91
Energy above the most stable polymorph in this dataset, meV/atom: 311
Mass density, g/cm3: 9.248
Formation energy from the elements, eV per atom: 0.733

=====

This record from Alexandria via LeMat-Bulk describes a relaxed BaTlMo4 crystal. The functional is PBE.

abc: 5.5983 5.5983 5.5983
angles: 60.00 60.00 60.00
Positions (direct):
Tl1 0.7500 0.7500 0.7500
Mo1 0.3735 0.3735 0.3735
Mo2 0.3735 0.8796 0.3735
Mo3 0.8796 0.3735 0.3735
Mo4 0.3735 0.3735 0.8796
Ba1 0.0000 0.0000 0.0000

Results
M_tot, μB/f.u.: 0.00
Mass density, g/cm3: 9.710
Formation energy from the elements, eV per atom: 0.875

=====

This record from Alexandria via LeMat-Bulk describes a relaxed BaTl2Mo crystal. The functional is PBE.

abc: 5.8712 5.8712 5.8712
angles: 127.58 127.58 77.31
Last column: magnetic moment on the atom in μB.
Positions (direct):
Tl1 0.2500 0.7500 0.5000  -0.02
Tl2 0.0000 0.0000 0.0000  -0.02
Mo1 0.7500 0.2500 0.5000  3.31
Ba1 0.5000 0.5000 0.0000  0.09

Results
M_tot, μB/f.u.: 4.14
Energy above the most stable polymorph in this dataset, meV/atom: 282
Mass density, g/cm3: 8.645
Formation energy from the elements, eV per atom: 0.705

=====

This record from Alexandria via LeMat-Bulk describes a relaxed BaTl2Mo crystal. The functional is PBE.

abc: 5.6225 5.6225 10.2588
angles: 74.10 74.10 90.00
Last column: magnetic moment on the atom in μB.
Positions (direct):
Mo1 0.5000 0.5000 0.0000  2.06
Mo2 0.2500 0.7500 0.5000  2.06
Ba1 0.0000 0.0000 0.0000  -0.01
Ba2 0.7500 0.2500 0.5000  -0.01
Tl1 0.3750 0.5207 0.7500  -0.05
Tl2 0.8750 0.7293 0.7500  -0.05
Tl3 0.4793 0.1250 0.2500  -0.05
Tl4 0.2707 0.6250 0.2500  -0.05

Results
M_tot, μB/f.u.: 2.29
Energy above the most stable polymorph in this dataset, meV/atom: 256
Mass density, g/cm3: 7.132
Formation energy from the elements, eV per atom: 0.678

=====

This record from Alexandria via LeMat-Bulk describes a relaxed BaTlMo2 crystal. The functional is PBE.

abc: 6.0716 6.0716 2.9577
angles: 77.43 77.43 115.69
Positions (direct):
Tl1 0.5000 0.0000 0.5000
Mo1 0.5000 0.5000 0.0000
Mo2 0.0000 0.0000 0.0000
Ba1 0.0000 0.5000 0.5000

Results
M_tot, μB/f.u.: 0.00
Energy above the most stable polymorph in this dataset, meV/atom: 811
Mass density, g/cm3: 9.882
Formation energy from the elements, eV per atom: 1.262